No. 1
Compound: LaSb2Os
Source: Alexandria
Functional: SCAN
Structure: PBEsol geometry

a b c (Å): 5.6184 5.6184 5.6184
angles (deg): 133.94 133.94 67.19
Element x y z (fractional)
1 La 0.0000 0.0000 0.0000
2 Sb 0.2500 0.7500 0.5000
3 Sb 0.5000 0.5000 0.0000
4 Os 0.7500 0.2500 0.5000

Results
Crystal system: tetragonal
DOS at the Fermi energy, states/eV/cell: 2.30
E_form (uncorrected), eV per formula unit: 0.4
Total magnetic moment, μB per atom: 0.00

No. 2
Compound: ScAuS2Cl
Source: Alexandria
Functional: SCAN
Structure: PBEsol geometry

a b c (Å): 4.7992 4.7992 4.7154
angles (deg): 90.00 90.00 90.00
Element x y z (fractional)
1 Sc 0.0000 0.0000 0.0000
2 Au 0.5000 0.5000 0.5000
3 S 0.0000 0.5000 0.5000
4 S 0.5000 0.0000 0.5000
5 Cl 0.5000 0.5000 0.0000

Results
Crystal system: tetragonal
DOS at the Fermi energy, states/eV/cell: 3.19
E_form (uncorrected), eV per formula unit: -1.0
Total magnetic moment, μB per atom: 0.10

No. 3
Compound: CoTeMo2
Source: Alexandria
Functional: SCAN
Structure: PBEsol geometry

a b c (Å): 3.0490 3.0490 6.5846
angles (deg): 90.00 90.00 90.00
Element x y z (fractional)
1 Co 0.0000 0.0000 0.0000
2 Te 0.0000 0.0000 0.5000
3 Mo 0.5000 0.5000 0.2291
4 Mo 0.5000 0.5000 0.7709

Results
Crystal system: tetragonal
DOS at the Fermi energy, states/eV/cell: 2.48
E_form (uncorrected), eV per formula unit: 1.8
Total magnetic moment, μB per atom: 0.41

No. 4
Compound: InAsBr2
Source: Alexandria
Functional: SCAN
Structure: PBEsol geometry

a b c (Å): 3.9079 3.9079 8.0184
angles (deg): 90.00 90.00 90.00
Element x y z (fractional)
1 In 0.0000 0.0000 0.0000
2 As 0.5000 0.5000 0.9237
3 Br 0.0000 0.0000 0.3124
4 Br 0.5000 0.5000 0.6331

Results
Crystal system: tetragonal
E above lowest polymorph, meV per atom: 0.0
DOS at the Fermi energy, states/eV/cell: 0.95
E_form (uncorrected), eV per formula unit: -1.4
Total magnetic moment, μB per atom: 0.00

No. 5
Compound: Cu2AgPtO
Source: Alexandria
Functional: SCAN
Structure: PBEsol geometry

a b c (Å): 4.6659 4.6659 3.6622
angles (deg): 90.00 90.00 90.00
Element x y z (fractional)
1 Cu 0.0000 0.5000 0.0000
2 Cu 0.5000 0.0000 0.0000
3 Ag 0.0000 0.0000 0.0000
4 Pt 0.5000 0.5000 0.5000
5 O 0.0000 0.0000 0.5000

Results
Crystal system: tetragonal
DOS at the Fermi energy, states/eV/cell: 3.14
E_form (uncorrected), eV per formula unit: 5.1
Total magnetic moment, μB per atom: 0.00

No. 6
Compound: Ca2AlCuO5
Source: Alexandria
Functional: SCAN
Structure: PBEsol geometry

a b c (Å): 8.1179 8.1179 8.1179
angles (deg): 56.07 139.74 142.66
Element x y z (fractional)
1 Ca 0.0340 0.1074 0.1415
2 Ca 0.0340 0.3926 0.4266
3 Ca 0.9660 0.6074 0.5734
4 Ca 0.9660 0.8926 0.8585
5 Al 0.4580 0.7877 0.1702
6 Al 0.6175 0.2877 0.8298
7 Cu 0.4888 0.4888 0.0000
8 Cu 0.4888 0.9888 0.5000
9 O 0.0152 0.6276 0.8876
10 O 0.3913 0.1080 0.5755
11 O 0.3913 0.3157 0.7833
12 O 0.4982 0.2273 0.2395
13 O 0.4982 0.7587 0.7709
14 O 0.5325 0.6080 0.2167
15 O 0.5325 0.8157 0.4245
16 O 0.7399 0.1276 0.1124
17 O 0.9878 0.2587 0.7605
18 O 0.9878 0.7273 0.2291

Results
Crystal system: orthorhombic
DOS at the Fermi energy, states/eV/cell: 3.43
E_form (uncorrected), eV per formula unit: -23.2
Total magnetic moment, μB per atom: 0.00

No. 7
Compound: CdRe2AgN
Source: Alexandria
Functional: SCAN
Structure: PBEsol geometry

a b c (Å): 3.9351 3.9351 4.8762
angles (deg): 90.00 90.00 90.00
Element x y z (fractional)
1 Cd 0.0000 0.0000 0.0000
2 Re 0.0000 0.5000 0.5000
3 Re 0.5000 0.0000 0.5000
4 Ag 0.5000 0.5000 0.0000
5 N 0.0000 0.0000 0.5000

Results
Crystal system: tetragonal
DOS at the Fermi energy, states/eV/cell: 2.41
E_form (uncorrected), eV per formula unit: 3.3
Total magnetic moment, μB per atom: 0.00

No. 8
Compound: CaMnP2
Source: Alexandria
Functional: SCAN
Structure: PBEsol geometry

a b c (Å): 6.2812 6.2812 6.2812
angles (deg): 33.91 33.91 33.91
Element x y z (fractional)
1 Ca 0.0000 0.0000 0.0000
2 Mn 0.5000 0.5000 0.5000
3 P 0.2283 0.2283 0.2283
4 P 0.7717 0.7717 0.7717

Results
Crystal system: trigonal
E above lowest polymorph, meV per atom: 0.0
DOS at the Fermi energy, states/eV/cell: 0.74
Calculated formation energy, meV per atom: -857.2
Total magnetic moment, μB per atom: 0.71

No. 9
Compound: Y2BeAu
Source: Alexandria
Functional: SCAN
Structure: PBEsol geometry

a b c (Å): 4.9064 4.9064 3.5094
angles (deg): 90.00 90.00 90.00
Element x y z (fractional)
1 Y 0.0000 0.5000 0.0000
2 Y 0.5000 0.0000 0.0000
3 Be 0.0000 0.0000 0.5000
4 Au 0.5000 0.5000 0.5000

Results
Crystal system: tetragonal
DOS at the Fermi energy, states/eV/cell: 2.07
Calculated formation energy, meV per atom: -542.8
Total magnetic moment, μB per atom: 0.00

No. 10
Compound: MgMnSe2
Source: Alexandria
Functional: SCAN
Structure: PBEsol geometry

a b c (Å): 3.8017 3.8017 5.3932
angles (deg): 90.00 90.00 90.00
Element x y z (fractional)
1 Mg 0.0000 0.0000 0.0000
2 Mn 0.5000 0.5000 0.5000
3 Se 0.0000 0.0000 0.5000
4 Se 0.5000 0.5000 0.0000

Results
Crystal system: tetragonal
DOS at the Fermi energy, states/eV/cell: 0.11
E_form (uncorrected), eV per formula unit: -4.6
Total magnetic moment, μB per atom: 1.25

No. 11
Compound: Sm2InGe2
Source: Alexandria
Functional: SCAN
Structure: PBEsol geometry

a b c (Å): 7.3569 7.3569 4.2486
angles (deg): 90.00 90.00 90.00
Element x y z (fractional)
1 Sm 0.1789 0.3211 0.0000
2 Sm 0.3211 0.8211 0.0000
3 Sm 0.6789 0.1789 0.0000
4 Sm 0.8211 0.6789 0.0000
5 In 0.0000 0.0000 0.5000
6 In 0.5000 0.5000 0.5000
7 Ge 0.1206 0.6206 0.5000
8 Ge 0.3794 0.1206 0.5000
9 Ge 0.6206 0.8794 0.5000
10 Ge 0.8794 0.3794 0.5000

Results
Crystal system: tetragonal
DOS at the Fermi energy, states/eV/cell: 4.38
Calculated formation energy, meV per atom: -842.2
Total magnetic moment, μB per atom: 0.00

No. 12
Compound: Ba4NbCo2MoO12
Source: Alexandria
Functional: SCAN
Structure: PBEsol geometry

a b c (Å): 5.6859 5.6859 8.0424
angles (deg): 90.00 90.00 90.00
Element x y z (fractional)
1 Ba 0.0000 0.5000 0.2505
2 Ba 0.0000 0.5000 0.7495
3 Ba 0.5000 0.0000 0.2505
4 Ba 0.5000 0.0000 0.7495
5 Nb 0.0000 0.0000 0.0000
6 Co 0.0000 0.0000 0.5000
7 Co 0.5000 0.5000 0.0000
8 Mo 0.5000 0.5000 0.5000
9 O 0.0000 0.0000 0.2518
10 O 0.0000 0.0000 0.7482
11 O 0.2500 0.2500 0.0000
12 O 0.2500 0.7500 0.0000
13 O 0.2597 0.2597 0.5000
14 O 0.2597 0.7403 0.5000
15 O 0.5000 0.5000 0.2611
16 O 0.5000 0.5000 0.7389
17 O 0.7403 0.2597 0.5000
18 O 0.7403 0.7403 0.5000
19 O 0.7500 0.2500 0.0000
20 O 0.7500 0.7500 0.0000

Results
Crystal system: tetragonal
DOS at the Fermi energy, states/eV/cell: 4.58
E_form (uncorrected), eV per formula unit: -51.1
Total magnetic moment, μB per atom: 0.35

| no. | V (Å³/cell) |
| --- | --- |
| 1 | 90.5 |
| 2 | 108.6 |
| 3 | 61.2 |
| 4 | 122.5 |
| 5 | 79.7 |
| 6 | 208.1 |
| 7 | 75.5 |
| 8 | 68.7 |
| 9 | 84.5 |
| 10 | 77.9 |
| 11 | 230.0 |
| 12 | 260.0 |